Here is crystalline Mg3NbP at its relaxed geometry from Alexandria. Energies are from PBE.

Computed properties:
Density: 2.8 g/cm³
E: -3.490 eV per atom
Spin magnetization: 0.60 μB/atom

a = 4.871 Å, b = 4.871 Å, c = 4.871 Å
α = 90.00°, β = 90.00°, γ = 90.00°
Last column: magnetic moment on the atom in μB.
Element x y z (fractional)
Nb (0.500, 0.500, 0.500)  2.17
Mg (0.500, 0.000, 0.000)  0.00
P (0.000, 0.000, 0.000)  0.09
Mg (0.000, 0.000, 0.500)  -0.01
Mg (0.000, 0.500, 0.000)  0.00